{
  "formula": "NaPOs2",
  "functional": "PBE-GGA",
  "state": "relaxed",
  "cell": [[4.812, 0.000, 0.000], [0.000, 4.812, 0.000], [2.406, 2.406, 7.952]],
  "species": ["Na", "P", "Na", "Os", "Os", "P", "Os", "Os"],
  "frac_coords": [[0.250, 0.750, 0.500], [0.750, 0.250, 0.500], [0.500, 0.500, 0.000], [0.850, 0.625, 0.250], [0.375, 0.100, 0.750], [0.000, 0.000, 0.000], [0.875, 0.150, 0.750], [0.900, 0.125, 0.250]],
  "total_magnetization_mub_per_fu": 0.0,
  "delta_e_f_kcal_per_mol_atoms": 18.26
}

---

{
  "formula": "AlIn",
  "functional": "PBE-GGA",
  "state": "relaxed",
  "cell": [[-1.167, -2.771, -0.345], [2.849, -0.378, -0.949], [1.411, -1.180, 4.706]],
  "species": ["In", "Al"],
  "frac_coords": [[0.500, 0.500, 0.500], [0.000, 0.000, 0.000]],
  "total_magnetization_mub_per_fu": 0.0,
  "delta_e_f_kcal_per_mol_atoms": 5.02
}

---

{
  "formula": "KMn2I6",
  "functional": "PBE-GGA",
  "state": "relaxed",
  "cell": [[-6.192, -2.711, -4.112], [2.075, -6.917, 1.436], [-4.577, 3.497, 4.586]],
  "species": ["I", "K", "I", "Mn", "I", "I", "Mn", "I", "I"],
  "frac_coords": [[0.291, 0.000, 0.623], [0.000, 0.000, 0.000], [0.291, 0.623, 0.000], [0.500, 0.333, 0.667], [0.291, 0.377, 0.377], [0.709, 0.377, 0.000], [0.500, 0.667, 0.333], [0.709, 0.623, 0.623], [0.709, 0.000, 0.377]],
  "total_magnetization_mub_per_fu": 9.0,
  "relative_energy_mev_per_atom": 0,
  "e_form_raw_ev_per_atom": -0.60
}

---

{
  "formula": "Ca2ScTa",
  "functional": "PBE-GGA",
  "state": "relaxed",
  "cell": [[8.602, 0.000, 0.000], [0.000, 8.602, 0.000], [4.301, 4.301, 3.032]],
  "species": ["Ca", "Ta", "Ca", "Sc", "Ca", "Ca", "Ta", "Sc"],
  "frac_coords": [[0.875, 0.884, 0.750], [0.000, 0.000, 0.000], [0.116, 0.625, 0.250], [0.500, 0.500, 0.000], [0.375, 0.366, 0.750], [0.634, 0.125, 0.250], [0.750, 0.250, 0.500], [0.250, 0.750, 0.500]],
  "total_magnetization_mub_per_fu": 2.1,
  "relative_energy_mev_per_atom": 667,
  "delta_e_f_kcal_per_mol_atoms": 23.67
}

---

{
  "formula": "DyTi2Nb",
  "functional": "PBE-GGA",
  "state": "relaxed",
  "cell": [[3.460, 0.000, 0.000], [0.000, 3.460, 0.000], [0.000, 0.000, 6.917]],
  "species": ["Nb", "Ti", "Dy", "Ti"],
  "frac_coords": [[0.500, 0.500, 0.000], [0.000, 0.000, 0.802], [0.500, 0.500, 0.500], [0.000, 0.000, 0.198]],
  "total_magnetization_mub_per_fu": 0.0,
  "delta_e_f_kcal_per_mol_atoms": 2.10
}

---

{
  "formula": "Hf2PbAu",
  "functional": "PBE-GGA",
  "state": "relaxed",
  "cell": [[-1.733, 1.563, -3.617], [2.090, -0.410, -3.740], [-2.691, -4.999, -3.432]],
  "species": ["Hf", "Au", "Hf", "Pb"],
  "frac_coords": [[0.269, 0.269, 0.192], [0.664, 0.664, 0.008], [0.069, 0.069, 0.793], [0.498, 0.498, 0.507]],
  "total_magnetization_mub_per_fu": 0.0,
  "delta_e_f_kcal_per_mol_atoms": -0.40
}

---

{
  "formula": "GaBiIr2",
  "functional": "PBE-GGA",
  "state": "relaxed",
  "cell": [[-3.643, -2.769, 0.724], [-3.941, 0.700, -2.332], [-1.317, -2.999, -3.276]],
  "species": ["Ga", "Bi", "Ir", "Ir"],
  "frac_coords": [[0.000, 0.000, 0.000], [0.500, 0.500, 0.500], [0.250, 0.250, 0.250], [0.750, 0.750, 0.750]],
  "total_magnetization_mub_per_fu": 0.6,
  "relative_energy_mev_per_atom": 0,
  "delta_e_f_kcal_per_mol_atoms": 7.09
}

---

{
  "formula": "Li2ZnAu",
  "functional": "PBE-GGA",
  "state": "relaxed",
  "cell": [[2.922, 0.000, 0.000], [1.461, 2.531, 0.000], [1.461, 0.844, 8.749]],
  "species": ["Zn", "Li", "Li", "Au"],
  "frac_coords": [[0.500, 0.500, 0.500], [0.252, 0.252, 0.243], [0.081, 0.081, 0.757], [0.667, 0.667, 0.000]],
  "total_magnetization_mub_per_fu": 0.0,
  "delta_e_f_kcal_per_mol_atoms": -5.41
}

---

{
  "formula": "CrSbPb2",
  "functional": "PBE-GGA",
  "state": "relaxed",
  "cell": [[5.643, 0.040, 0.000], [-1.820, 5.342, 0.000], [0.000, 0.000, 3.552]],
  "species": ["Pb", "Cr", "Pb", "Sb"],
  "frac_coords": [[0.000, 0.000, 0.000], [0.000, 0.500, 0.500], [0.500, 0.500, 0.000], [0.500, 0.000, 0.500]],
  "total_magnetization_mub_per_fu": 4.4,
  "e_form_raw_ev_per_atom": 0.40
}

---

{
  "formula": "Zr3MnRu4",
  "functional": "PBE-GGA",
  "state": "relaxed",
  "cell": [[-0.849, -0.974, -2.977], [0.326, -3.095, 0.920], [-12.175, -0.229, 3.549]],
  "species": ["Ru", "Ru", "Mn", "Zr", "Zr", "Ru", "Zr", "Ru"],
  "frac_coords": [[0.000, 0.000, 0.887], [0.000, 0.000, 0.629], [0.500, 0.500, 0.000], [0.500, 0.500, 0.500], [0.500, 0.500, 0.237], [0.000, 0.000, 0.113], [0.500, 0.500, 0.763], [0.000, 0.000, 0.371]],
  "total_magnetization_mub_per_fu": 3.8,
  "delta_e_f_kcal_per_mol_atoms": -10.06
}

---

{
  "formula": "Pr5Dy12Y2",
  "functional": "PBE-GGA",
  "state": "relaxed",
  "cell": [[-0.835, 1.793, 6.795], [-1.235, -9.720, -1.273], [8.885, -5.021, 2.417]],
  "species": ["Dy", "Dy", "Dy", "Dy", "Pr", "Y", "Dy", "Y", "Pr", "Dy", "Dy", "Dy", "Dy", "Pr", "Pr", "Dy", "Pr", "Dy", "Dy"],
  "frac_coords": [[0.594, 0.684, 0.869], [0.090, 0.673, 0.521], [0.406, 0.316, 0.131], [0.584, 0.673, 0.521], [0.681, 0.362, 0.788], [0.729, 0.000, 0.000], [0.025, 0.050, 0.752], [0.271, 0.000, 0.000], [0.813, 0.625, 0.182], [0.502, 0.004, 0.325], [0.416, 0.327, 0.479], [0.910, 0.327, 0.479], [0.498, 0.996, 0.675], [0.319, 0.638, 0.212], [0.187, 0.375, 0.818], [0.089, 0.684, 0.869], [0.000, 0.000, 0.500], [0.911, 0.316, 0.131], [0.975, 0.950, 0.248]],
  "total_magnetization_mub_per_fu": 0.0,
  "delta_e_f_kcal_per_mol_atoms": 4.12
}

---

{
  "formula": "HSeS2Cl",
  "functional": "PBE-GGA",
  "state": "relaxed",
  "cell": [[-1.561, -0.327, -3.295], [0.853, -3.560, -0.050], [-7.072, -1.743, 3.522]],
  "species": ["Se", "Cl", "S", "S", "H"],
  "frac_coords": [[0.500, 0.500, 0.500], [0.000, 0.000, 0.500], [0.000, 0.500, 0.000], [0.500, 0.000, 0.000], [0.000, 0.000, 0.000]],
  "total_magnetization_mub_per_fu": 0.0,
  "relative_energy_mev_per_atom": 0
}

---

{
  "formula": "LaPrAg",
  "functional": "PBE-GGA",
  "state": "relaxed",
  "cell": [[5.285, 0.000, 0.000], [0.000, 9.562, 0.000], [0.000, 0.000, 7.337]],
  "species": ["La", "La", "Ag", "Ag", "La", "Ag", "La", "Pr", "Pr", "Pr", "Pr", "Ag"],
  "frac_coords": [[0.750, 0.184, 0.508], [0.250, 0.816, 0.492], [0.750, 0.903, 0.736], [0.250, 0.403, 0.764], [0.750, 0.316, 0.008], [0.250, 0.097, 0.264], [0.250, 0.684, 0.992], [0.750, 0.584, 0.651], [0.750, 0.916, 0.151], [0.250, 0.416, 0.349], [0.250, 0.084, 0.849], [0.750, 0.597, 0.236]],
  "total_magnetization_mub_per_fu": 0.0,
  "relative_energy_mev_per_atom": 0,
  "delta_e_f_kcal_per_mol_atoms": -3.40
}

---

{
  "formula": "CaTlCrCl2",
  "functional": "PBE-GGA",
  "state": "relaxed",
  "cell": [[4.797, 0.000, 0.000], [0.000, 6.742, 0.000], [0.000, 0.000, 4.797]],
  "species": ["Ca", "Cr", "Cl", "Tl", "Cl"],
  "frac_coords": [[0.000, 0.500, 0.000], [0.000, 0.000, 0.000], [0.500, 0.000, 0.000], [0.500, 0.500, 0.500], [0.000, 0.000, 0.500]],
  "total_magnetization_mub_per_fu": 4.5,
  "e_form_raw_ev_per_atom": -0.37
}

---

{
  "formula": "AuSI2O",
  "functional": "PBE-GGA",
  "state": "relaxed",
  "cell": [[-5.467, 1.545, -0.975], [-1.568, -5.547, -0.001], [-0.577, 0.162, 3.496]],
  "species": ["I", "I", "S", "Au", "O"],
  "frac_coords": [[0.500, 0.000, 0.000], [0.000, 0.500, 0.000], [0.000, 0.000, 0.000], [0.500, 0.500, 0.500], [0.000, 0.000, 0.500]],
  "total_magnetization_mub_per_fu": 0.0,
  "relative_energy_mev_per_atom": 0,
  "e_form_raw_ev_per_atom": 0.37
}

---

{
  "formula": "Sm8Tl2Hg3",
  "functional": "PBE-GGA",
  "state": "relaxed",
  "cell": [[-2.370, -4.440, -2.459], [7.664, -1.723, -4.276], [-1.441, -3.838, 8.318]],
  "species": ["Sm", "Hg", "Sm", "Sm", "Hg", "Sm", "Hg", "Sm", "Tl", "Sm", "Sm", "Sm", "Tl"],
  "frac_coords": [[0.000, 0.895, 0.790], [0.500, 0.000, 0.000], [0.500, 0.829, 0.227], [0.500, 0.602, 0.773], [0.000, 0.677, 0.000], [0.000, 0.679, 0.358], [0.000, 0.323, 0.000], [0.500, 0.398, 0.227], [0.500, 0.227, 0.454], [0.000, 0.321, 0.642], [0.500, 0.171, 0.773], [0.000, 0.105, 0.210], [0.500, 0.773, 0.546]],
  "total_magnetization_mub_per_fu": 2.3,
  "delta_e_f_kcal_per_mol_atoms": -3.72
}

---

{
  "formula": "PmDyCdAg",
  "functional": "PBE-GGA",
  "state": "relaxed",
  "cell": [[-2.954, 1.130, -1.954], [-0.799, -3.533, -0.836], [-4.278, -0.496, 6.181]],
  "species": ["Pm", "Ag", "Cd", "Dy"],
  "frac_coords": [[0.500, 0.500, 0.113], [0.000, 0.000, 0.372], [0.000, 0.000, 0.846], [0.500, 0.500, 0.597]],
  "total_magnetization_mub_per_fu": 0.2,
  "relative_energy_mev_per_atom": 0,
  "delta_e_f_kcal_per_mol_atoms": -6.99
}